Compound: LaCd2Tc
Source: the Alexandria database
Functional: PBE-GGA
Structure: relaxed

a b c (Å): 3.2623 4.7144 13.0040
angles (deg): 90.00 90.00 90.00
With the nearest neighbours (Å) after each atom.
Space group Imm2 (No. 44)
Asymmetric unit:
La 0.0000 0.0000 0.0000 (multiplicity 2)  2 Tc 2.74
Cd 0.0000 0.0000 0.3477 (multiplicity 2)  2 Tc 2.84, 2 Cd 3.11
Cd 0.0000 0.5000 0.1920 (multiplicity 2)  4 Tc 2.88, 2 Cd 3.11
Tc 0.0000 0.5000 0.6692 (multiplicity 2)  2 La 2.74, 6 Cd 2.84-2.88

Calculated formation energy = 17.7 kJ per mole of atoms